Material: KTcAg2
Method: DFT, PBE
State: optimized geometry

a b c (Å): 2.7307 5.2968 5.5761
angles (deg): 90.00 90.00 90.00
Last column: nearest neighbours and their distance in Å.
Sites, in units of the cell vectors:
K 0.0000 0.0000 0.0000  2 K 2.73, 2 Ag 3.05
Tc 0.0000 0.5000 0.5967  2 Tc 2.73, 6 Ag 2.89-3.02
Ag 0.5000 0.0000 0.5113  2 Ag 2.73, 4 Tc 3.02, 2 K 3.05
Ag 0.5000 0.5000 0.1402  2 Ag 2.73, 2 Tc 2.89

Properties
energy above the lowest structure with this stoichiometry: 0.0941 eV per atom
raw total energy: -14.3 eV per cell

---

Material: Mg6Pd10Pt
Method: DFT, PBE
State: optimized geometry

a b c (Å): 7.6204 7.6204 5.4593
angles (deg): 90.00 90.00 120.00
Last column: nearest neighbours and their distance in Å.
Sites, in units of the cell vectors:
Mg 0.0000 0.3479 0.3103  7 Pd 2.62-2.80, 1 Pt 2.85
Mg 0.0000 0.6521 0.6897  7 Pd 2.62-2.80, 1 Pt 2.85
Mg 0.3479 0.0000 0.3103  7 Pd 2.62-2.80, 1 Pt 2.85
Mg 0.3479 0.3479 0.6897  7 Pd 2.62-2.80, 1 Pt 2.85
Mg 0.6521 0.0000 0.6897  7 Pd 2.62-2.80, 1 Pt 2.85
Mg 0.6521 0.6521 0.3103  7 Pd 2.62-2.80, 1 Pt 2.85
Pd 0.0000 0.3096 0.8197  5 Mg 2.62-2.80, 2 Pd 2.81
Pd 0.0000 0.6904 0.1803  5 Mg 2.62-2.80, 2 Pd 2.81
Pd 0.3096 0.0000 0.8197  5 Mg 2.62-2.80, 2 Pd 2.81
Pd 0.3096 0.3096 0.1803  5 Mg 2.62-2.80, 2 Pd 2.81
Pd 0.3333 0.6667 0.0000  8 Pd 2.73-2.81, 6 Mg 3.01
Pd 0.3333 0.6667 0.5000  6 Mg 2.69, 2 Pd 2.73
Pd 0.6667 0.3333 0.0000  8 Pd 2.73-2.81, 6 Mg 3.01
Pd 0.6667 0.3333 0.5000  6 Mg 2.69, 2 Pd 2.73
Pd 0.6904 0.0000 0.1803  5 Mg 2.62-2.80, 2 Pd 2.81
Pd 0.6904 0.6904 0.8197  5 Mg 2.62-2.80, 2 Pd 2.81
Pt 0.0000 0.0000 0.5000  6 Mg 2.85, 6 Pd 2.93

Properties
raw total energy: -77.0 eV per cell

---

Material: MnCdOs2
Method: DFT, PBE
State: optimized geometry

a b c (Å): 5.4856 5.4856 5.4856
angles (deg): 150.51 130.83 58.38
Last column: nearest neighbours and their distance in Å.
Sites, in units of the cell vectors:
Mn 0.0000 0.0000 0.0000  4 Os 2.52, 4 Cd 2.68, 2 Mn 2.79
Cd 0.5000 0.5000 0.0000  4 Mn 2.68, 2 Cd 2.79
Os 0.2186 0.7186 0.5000  2 Mn 2.52, 6 Os 2.74-2.79
Os 0.7814 0.2814 0.5000  2 Mn 2.52, 6 Os 2.74-2.79

Properties
raw total energy: -31.0 eV per cell

---

Material: Ca2HPt
Method: DFT, PBE
State: optimized geometry

a b c (Å): 4.9500 4.9500 3.3359
angles (deg): 90.00 90.00 90.00
Last column: nearest neighbours and their distance in Å.
Sites, in units of the cell vectors:
Ca 0.0000 0.5000 0.0000  4 H 2.98, 4 Pt 2.98, 2 Ca 3.34
Ca 0.5000 0.0000 0.0000  4 H 2.98, 4 Pt 2.98, 2 Ca 3.34
H 0.0000 0.0000 0.5000  8 Ca 2.98, 2 H 3.34
Pt 0.5000 0.5000 0.5000  8 Ca 2.98, 2 Pt 3.34

Properties
energy above the lowest structure with this stoichiometry: 0.1296 eV per atom
raw total energy: -15.3 eV per cell